Density functional theory data (PBE) for a relaxed structure of PmThCdPd.

Values from the calculation:
The calculation puts the total magnetization at 0.000 μB/atom. The density of states at the Fermi level is 4.1 states/eV/cell. The calculation puts the formation energy at -0.357 eV/atom. For the electronic total energy, the calculation gives -4.926 eV/atom.

a b c (Å): 5.269 5.269 5.269
angles (deg): 60.00 60.00 60.00
Fractional coordinates of all 4 atoms:
1 Pm 0.000 0.000 0.000
2 Th 0.500 0.500 0.500
3 Cd 0.250 0.250 0.250
4 Pd 0.750 0.750 0.750